This record from Alexandria describes an optimized crystal structure of FeSi2Hg. The functional is PBE-GGA.

Values from the calculation:
formation energy from raw total energies: 0.360 eV per atom
SG: No. 160

a = 8.002 Å, b = 8.002 Å, c = 8.002 Å
α = 22.20°, β = 22.20°, γ = 22.20°
Atoms (fractional coordinates):
1 Fe 0.512 0.512 0.512
2 Hg 0.753 0.753 0.753
3 Si 0.989 0.989 0.989
4 Si 0.245 0.245 0.245

---

This record from Alexandria describes an optimized crystal structure of FeSiHg. The functional is PBE-GGA.

Values from the calculation:
energy above the most stable polymorph in this dataset: 1.842 kcal/mol of atoms
formation energy from raw total energies: 0.331 eV per atom
SG: No. 187

a = 3.911 Å, b = 3.911 Å, c = 3.563 Å
α = 90.00°, β = 90.00°, γ = 120.00°
Atoms (fractional coordinates):
1 Fe 0.000 0.000 0.833
2 Hg 0.333 0.667 0.333
3 Si 0.667 0.333 0.834

---

This record from Alexandria describes an optimized crystal structure of FeSi2Hg. The functional is PBE-GGA.

Values from the calculation:
formation energy from raw total energies: 0.588 eV per atom
SG: No. 119

a = 4.960 Å, b = 4.960 Å, c = 4.960 Å
α = 133.53°, β = 133.53°, γ = 67.83°
Atoms (fractional coordinates):
1 Fe 0.500 0.500 0.000
2 Hg 0.750 0.250 0.500
3 Si 0.000 0.000 0.000
4 Si 0.250 0.750 0.500

---

This record from Alexandria describes an optimized crystal structure of FeSi2Hg. The functional is PBE-GGA.

Values from the calculation:
formation energy from raw total energies: 0.619 eV per atom
SG: No. 47

a = 2.698 Å, b = 5.064 Å, c = 4.833 Å
α = 90.00°, β = 90.00°, γ = 90.00°
Atoms (fractional coordinates):
1 Fe 0.500 0.000 0.500
2 Hg 0.000 0.500 0.500
3 Si 0.000 0.000 0.000
4 Si 0.500 0.500 0.000